! ZnCo2Rh2 | Alexandria via LeMat-Bulk | PBE-GGA | relaxed; values from VASP
! - Formation enthalpy at 0 K: 116 meV per atom
! - Distance to the lowest polymorph of the same formula: 0.000 eV per formula unit
! - Total energy: -59.2 eV per cell
! - Crystal system: tetragonal
&SYSTEM
  ibrav = 0, nat = 10, ntyp = 3
/
ATOMIC_SPECIES
Co 58.93 Co.upf
Zn 65.41 Zn.upf
Rh 102.91 Rh.upf
CELL_PARAMETERS angstrom
-2.821 1.011 -6.395
-6.434 0.339 2.892
0.280 2.707 0.305
ATOMIC_POSITIONS crystal
Co 0.381 0.881 0.000
Co 0.881 0.619 0.000
Co 0.619 0.119 0.000
Co 0.119 0.381 0.000
Zn 0.000 0.000 0.000
Zn 0.500 0.500 0.000
Rh 0.175 0.675 0.500
Rh 0.675 0.825 0.500
Rh 0.825 0.325 0.500
Rh 0.325 0.175 0.500